# Y2MgRe

An optimized crystal structure of Y2MgRe (PBE-GGA, Alexandria via LeMat-Bulk).

a b c (Å): 6.473 6.473 6.473
angles (deg): 103.19 103.19 122.94
Element x y z (fractional)
Y  0.089  0.625  0.964
Y  0.375  0.339  0.464
Y  0.661  0.125  0.036
Y  0.875  0.911  0.536
Mg  0.250  0.750  0.500
Mg  0.500  0.500  0.000
Re  0.000  0.000  0.000
Re  0.750  0.250  0.500

Computed properties:
* DFT formation energy: 575 meV per atom
* final energy: -49.34 eV/cell